A geometry-optimized LaHoTe structure, computed with PBE.

Formation energy (no corrections)   -0.94 eV/atom
Energy above the lowest structure with this stoichiometry   0.0 meV per atom
Total DFT energy (no corrections)   -5.156 eV per atom
Magnetic moment   0.000 μB per atom
V   30.42 Å³/atom

The structure in CIF format:
```
data_LaHoTe
_cell_length_a 4.543
_cell_length_b 4.543
_cell_length_c 8.843
_cell_angle_alpha 90.00
_cell_angle_beta 90.00
_cell_angle_gamma 90.00
_space_group_name_H-M_alt 'P 4/n m m'
_space_group_IT_number 129
loop_
_space_group_symop_operation_xyz
'x,y,z'
'-x,-y,-z'
'-y+1/2,x,z'
'y+1/2,-x,-z'
'-x+1/2,-y+1/2,z'
'x+1/2,y+1/2,-z'
'y,-x+1/2,z'
'-y,x+1/2,-z'
'x+1/2,-y,-z'
'-x+1/2,y,z'
'-y,-x,-z'
'y,x,z'
'-x,y+1/2,-z'
'x,-y+1/2,z'
'y+1/2,x+1/2,-z'
'-y+1/2,-x+1/2,z'
loop_
_atom_site_label
_atom_site_type_symbol
_atom_site_fract_x
_atom_site_fract_y
_atom_site_fract_z
La1 La 0.250 0.250 0.144
Ho1 Ho 0.250 0.750 0.500
Te1 Te 0.250 0.250 0.764
```